DFT (GGA-PBEsol) results for a relaxed TlTcPt2 crystal.

Summary:
offset from the most stable computed form = 9.9 kJ/mol of atoms
crystal system = tetragonal
uncorrected energy = -26.7 eV per cell
formation energy from the elements = 0.28 eV/atom

Geometry as CIF:
```
data_TlTcPt2
_cell_length_a 4.8774
_cell_length_b 4.8774
_cell_length_c 2.7749
_cell_angle_alpha 90.00
_cell_angle_beta 90.00
_cell_angle_gamma 90.00
_space_group_name_H-M_alt 'P 4/m m m'
_space_group_IT_number 123
_space_group_name_Hall '-P 4 2'
loop_
_atom_site_label
_atom_site_type_symbol
_atom_site_fract_x
_atom_site_fract_y
_atom_site_fract_z
_atom_site_occupancy
Tl1 Tl 0.0000 0.0000 0.0000 1
Tc1 Tc 0.5000 0.5000 0.0000 1
Pt1 Pt 0.0000 0.5000 0.5000 1
```